(i)
## CuNi2Cl (PBE)

Data for crystalline CuNi2Cl at its relaxed geometry.

Lattice parameters (Å, degrees): 4.776 4.776 4.776 136.01 136.01 63.96
Each line ends with the local moment (μB).
Sites, in units of the cell vectors:
Ni 0.000 0.000 0.000  0.48
Ni 0.250 0.750 0.500  0.36
Cl 0.500 0.500 0.000  0.04
Cu 0.750 0.250 0.500  0.01

Computed properties:
Space-group type: I-4m2 (119)

=====

(ii)
## CuNi2Cl (PBE)

Data for crystalline CuNi2Cl at its relaxed geometry.

Lattice parameters (Å, degrees): 7.566 7.566 7.566 22.11 22.11 22.11
Each line ends with the local moment (μB).
Sites, in units of the cell vectors:
Ni 0.251 0.251 0.251  0.71
Ni 0.997 0.997 0.997  0.47
Cl 0.506 0.506 0.506  0.09
Cu 0.747 0.747 0.747  0.01

Computed properties:
Space-group type: R3m (160)

=====

Stability check: which of them is least stable? (i).

=====

(i)
## CuNi2Cl (PBE)

Data for crystalline CuNi2Cl at its relaxed geometry.

Lattice parameters (Å, degrees): 4.237 4.237 7.261 54.15 54.15 38.78
Each line ends with the local moment (μB).
Sites, in units of the cell vectors:
Ni 0.931 0.931 0.919  0.37
Ni 0.569 0.569 0.581  0.37
Cl 0.250 0.250 0.250  0.03
Cu 0.750 0.750 0.750  0.07

Computed properties:
Space-group type: C2/m (12)

=====

(ii)
## CuNi2Cl (PBE)

Data for crystalline CuNi2Cl at its relaxed geometry.

Lattice parameters (Å, degrees): 6.437 6.437 5.251 52.20 52.20 90.00
Sites, in units of the cell vectors:
Ni 0.599 0.125 0.250
Ni 0.151 0.625 0.250
Ni 0.875 0.849 0.750
Ni 0.375 0.401 0.750
Cl 0.500 0.500 0.000
Cl 0.250 0.750 0.500
Cu 0.000 0.000 0.000
Cu 0.750 0.250 0.500

Computed properties:
Space-group type: I-42d (122)

=====

(iii)
## CuNi2Cl (PBE)

Data for crystalline CuNi2Cl at its relaxed geometry.

Lattice parameters (Å, degrees): 2.971 3.033 6.340 89.84 90.00 90.00
Each line ends with the local moment (μB).
Sites, in units of the cell vectors:
Ni 0.000 0.001 0.013  0.65
Ni 0.500 0.500 0.199  0.71
Cu 0.500 0.503 0.800  0.04
Cl 0.000 0.496 0.488  0.06

Computed properties:
Space-group type: Pm (6)

=====

(iv)
## CuNi2Cl (PBE)

Data for crystalline CuNi2Cl at its relaxed geometry.

Lattice parameters (Å, degrees): 5.904 5.904 5.904 152.28 141.89 47.78
Each line ends with the local moment (μB).
Sites, in units of the cell vectors:
Ni 0.732 0.232 0.500  0.45
Ni 0.918 0.918 0.000  0.61
Cu 0.290 0.790 0.500  0.06
Cl 0.560 0.560 0.000  0.06

Computed properties:
Space-group type: Imm2 (44)

=====

Stability check: which of them is least stable? (ii).

=====

(i)
## CuNi2Cl (PBE)

Data for crystalline CuNi2Cl at its relaxed geometry.

Lattice parameters (Å, degrees): 7.465 7.465 7.465 22.28 22.28 22.28
Each line ends with the local moment (μB).
Sites, in units of the cell vectors:
Ni 0.501 0.501 0.501  0.49
Ni 0.999 0.999 0.999  0.49
Cl 0.250 0.250 0.250  0.13
Cu 0.750 0.750 0.750  0.02

Computed properties:
Space-group type: R-3m (166)

=====

(ii)
## CuNi2Cl (PBE)

Data for crystalline CuNi2Cl at its relaxed geometry.

Lattice parameters (Å, degrees): 2.964 2.964 5.940 90.00 90.00 90.04
Each line ends with the local moment (μB).
Sites, in units of the cell vectors:
Ni 0.000 0.000 0.973  0.51
Ni 0.000 0.000 0.527  0.51
Cl 0.500 0.500 0.250  0.09
Cu 0.500 0.500 0.750  0.07

Computed properties:
Space-group type: P4/mmm (123)

=====

(iii)
## CuNi2Cl (PBE)

Data for crystalline CuNi2Cl at its relaxed geometry.

Lattice parameters (Å, degrees): 2.867 3.163 6.228 89.96 90.00 90.00
Each line ends with the local moment (μB).
Sites, in units of the cell vectors:
Cu 0.500 0.750 0.750  0.06
Ni 0.000 0.250 0.548  0.40
Ni 0.000 0.250 0.952  0.40
Cl 0.500 0.250 0.250  0.05

Computed properties:
Space-group type: Pmmm (47)

=====

Stability check: which of them is least stable? (ii).

=====

(i)
## CuNi2Cl (PBE)

Data for crystalline CuNi2Cl at its relaxed geometry.

Lattice parameters (Å, degrees): 4.177 4.177 4.177 60.00 60.00 60.00
Each line ends with the local moment (μB).
Sites, in units of the cell vectors:
Cu 0.500 0.500 0.500  0.06
Cl 0.000 0.000 0.000  0.07
Ni 0.750 0.750 0.750  0.46
Ni 0.250 0.250 0.250  0.46

Computed properties:
Space-group type: Fm-3m (225)

=====

(ii)
## CuNi2Cl (PBE)

Data for crystalline CuNi2Cl at its relaxed geometry.

Lattice parameters (Å, degrees): 2.834 4.476 4.091 90.00 90.00 90.00
Each line ends with the local moment (μB).
Sites, in units of the cell vectors:
Cu 0.000 0.500 0.500  0.00
Cl 0.500 0.000 0.500  0.00
Ni 0.000 0.000 0.000  0.13
Ni 0.500 0.500 0.000  0.31

Computed properties:
Space-group type: Pmmm (47)

=====

(iii)
## CuNi2Cl (PBE)

Data for crystalline CuNi2Cl at its relaxed geometry.

Lattice parameters (Å, degrees): 4.088 4.088 6.019 83.15 83.15 41.38
Each line ends with the local moment (μB).
Sites, in units of the cell vectors:
Ni 0.216 0.216 0.176  0.71
Ni 0.950 0.950 0.018  0.71
Cl 0.645 0.645 0.470  0.09
Cu 0.689 0.689 0.836  0.05

Computed properties:
Space-group type: Cm (8)

=====

Stability check: which of them is least stable? (i).

=====

(i)
## CuNi2Cl (PBE)

Data for crystalline CuNi2Cl at its relaxed geometry.

Lattice parameters (Å, degrees): 4.210 4.210 4.210 60.00 60.00 60.00
Each line ends with the local moment (μB).
Sites, in units of the cell vectors:
Cl 0.500 0.500 0.500  0.04
Ni 0.000 0.000 0.000  0.57
Ni 0.250 0.250 0.250  0.53
Cu 0.750 0.750 0.750  0.04

Computed properties:
Space-group type: F-43m (216)

=====

(ii)
## CuNi2Cl (PBE)

Data for crystalline CuNi2Cl at its relaxed geometry.

Lattice parameters (Å, degrees): 2.966 2.966 6.187 90.00 90.00 90.00
Each line ends with the local moment (μB).
Sites, in units of the cell vectors:
Ni 0.000 0.000 0.014  0.65
Ni 0.500 0.500 0.216  0.73
Cl 0.000 0.000 0.476  0.04
Cu 0.500 0.500 0.794  0.03

Computed properties:
Space-group type: P4mm (99)

=====

Stability check: which of them is least stable? (i).

=====

(i)
## CuNiCl (PBE)

Data for crystalline CuNiCl at its relaxed geometry.

Lattice parameters (Å, degrees): 5.456 5.456 5.456 148.93 148.93 44.51
Each line ends with the local moment (μB).
Sites, in units of the cell vectors:
Cl 0.017 0.017 0.000  0.07
Cu 0.316 0.316 0.000  0.03
Ni 0.667 0.667 0.000  0.51

Computed properties:
Space-group type: I4mm (107)

=====

(ii)
## CuNiCl (PBE)

Data for crystalline CuNiCl at its relaxed geometry.

Lattice parameters (Å, degrees): 3.093 3.093 5.295 90.00 90.00 120.00
Each line ends with the local moment (μB).
Sites, in units of the cell vectors:
Cu 0.667 0.333 0.353  0.05
Ni 0.333 0.667 0.673  0.54
Cl 0.000 0.000 0.974  0.07

Computed properties:
Space-group type: P3m1 (156)

=====

(iii)
## CuNiCl (PBE)

Data for crystalline CuNiCl at its relaxed geometry.

Lattice parameters (Å, degrees): 4.040 4.040 4.040 60.00 60.00 60.00
Each line ends with the local moment (μB).
Sites, in units of the cell vectors:
Cu 0.500 0.500 0.500  0.03
Ni 0.250 0.250 0.250  0.33
Cl 0.000 0.000 0.000  0.03

Computed properties:
Space-group type: F-43m (216)

=====

(iv)
## CuNiCl (PBE)

Data for crystalline CuNiCl at its relaxed geometry.

Lattice parameters (Å, degrees): 6.107 5.728 3.050 82.08 68.27 29.65
Each line ends with the local moment (μB).
Sites, in units of the cell vectors:
Cu 0.328 0.328 0.672  0.03
Ni 0.664 0.664 0.336  0.57
Cl 0.008 0.008 0.992  0.05

Computed properties:
Space-group type: Fmm2 (42)

=====

Stability check: which of them is least stable? (iii).